Density functional theory data (PBE-GGA) for GdGaO3 after structural relaxation.

a b c (Å): 5.403 5.403 5.761
angles (deg): 62.03 62.03 60.00
Positions (direct):
1 Ga 0.848 0.848 0.455
2 Ga 0.152 0.152 0.545
3 Gd 0.632 0.632 0.104
4 Gd 0.368 0.368 0.896
5 O 0.969 0.559 0.267
6 O 0.204 0.969 0.267
7 O 0.559 0.204 0.267
8 O 0.441 0.796 0.733
9 O 0.796 0.031 0.733
10 O 0.031 0.441 0.733

Summary:
Calculated total energy ... -7.08 eV per atom
M_tot ... 0.00 μB/atom